# 1
8
Lattice="4.9714 0.0000 0.0000 2.4857 4.3054 0.0000 2.4857 1.4351 9.6335" Properties=species:S:1:pos:R:3 comment="Li2AcTl4Zn, relaxed, DFT PBE" space_group=R-3m crystal_system=trigonal delta_e_f_ev_per_atom=-0.180 pbc="T T T"
Li 7.4571 4.3054 6.7917
Li 2.4857 1.4351 2.8418
Tl 7.4571 4.3054 3.6767
Tl 4.9714 2.8702 1.8624
Tl 2.4857 1.4351 5.9568
Tl 4.9714 2.8702 7.7711
Ac 0.0000 0.0000 0.0000
Zn 4.9714 2.8702 4.8167

# 2
19
Lattice="7.9858 0.0058 0.0000 3.9216 6.9566 0.0000 5.9531 3.4808 6.9772" Properties=species:S:1:pos:R:3 comment="La4Nd4S4O7, relaxed, DFT PBE" space_group=Cm formation_energy_uncorrected_ev_per_fu=-56.3 crystal_system=monoclinic pbc="T T T"
S 2.9930 1.7500 3.5074
S 9.8811 3.4780 0.0007
S 8.9042 5.2063 3.4733
S 7.8771 6.9054 0.0007
Nd 4.5036 2.6333 1.1652
Nd 10.5390 6.1622 1.1569
Nd 11.5635 4.4203 4.6531
Nd 9.5234 7.9093 4.6531
O 12.6015 7.3682 1.1426
O 11.1072 6.4944 5.8640
O 4.1508 4.7207 2.2957
O 6.1496 1.3020 2.2957
O 13.6215 5.6075 4.6572
O 5.1092 2.9874 5.8253
O 11.5674 9.1206 4.6572
La 8.2553 2.4061 2.3703
La 6.1457 6.0142 2.3703
La 7.2112 4.2164 5.8144
La 13.1528 7.6905 5.7289

# 3
5
Lattice="5.1380 0.0000 0.0000 0.0000 5.1380 0.0000 0.0000 0.0000 5.1380" Properties=species:S:1:pos:R:3 comment="SrTi3I, relaxed, DFT PBE" polymorph_energy_ev_per_atom=0.0000 space_group=Pm-3m formation_energy_uncorrected_ev_per_fu=4.0 crystal_system=cubic pbc="T T T"
I 0.0000 0.0000 0.0000
Ti 0.0000 0.0000 2.5690
Ti 0.0000 2.5690 0.0000
Ti 2.5690 0.0000 0.0000
Sr 2.5690 2.5690 2.5690

# 4
4
Lattice="-2.0843 -3.7913 1.7695 2.5799 -0.8684 1.1781 -0.5014 2.2633 4.2587" Properties=species:S:1:pos:R:3 comment="YCuOs2, relaxed, DFT PBE" polymorph_energy_ev_per_atom=0.1525 space_group=P2/m crystal_system=monoclinic delta_e_f_ev_per_atom=0.328 pbc="T T T"
Y -0.5225 -1.5469 2.2440
Cu 0.5167 -0.8495 4.9623
Os 1.9008 1.4198 5.2808
Os 1.2169 0.6726 2.8744

# 5
4
Lattice="-1.8882 -2.6481 1.3550 2.7582 -0.9577 1.9720 -2.7758 5.2776 6.4457" Properties=species:S:1:pos:R:3 comment="SnHg2Bi, relaxed, DFT PBE" space_group=P4/mmm crystal_system=tetragonal delta_e_f_ev_per_atom=0.089 pbc="T T T"
Hg -0.6623 1.2592 1.5379
Hg -2.1135 4.0184 4.9078
Bi -0.9529 0.8359 4.8864
Sn 0.4350 -1.8029 1.6635

# 6
5
Lattice="4.9334 0.0000 0.0000 0.0000 4.9334 0.0000 0.0000 0.0000 4.9334" Properties=species:S:1:pos:R:3 comment="NdLu3H, relaxed, DFT PBE" space_group=Pm-3m crystal_system=cubic total_energy_ev_per_atom=-4.484 pbc="T T T"
H 0.0000 0.0000 0.0000
Lu 0.0000 2.4667 0.0000
Lu 0.0000 0.0000 2.4667
Lu 2.4667 0.0000 0.0000
Nd 2.4667 2.4667 2.4667

# 7
19
Lattice="-3.1414 -0.9182 -6.1369 -3.0530 -6.0922 1.3920 -6.2665 2.4519 1.7585" Properties=species:S:1:pos:R:3 comment="Ca2Cu2Pd15, relaxed, DFT PBE" space_group=R-3m crystal_system=trigonal delta_e_f_ev_per_atom=-0.196 pbc="T T T"
Pd -7.4253 -0.3417 -0.1477
Pd -3.1332 1.2260 0.8793
Pd -5.0356 -4.2167 -2.8387
Pd -1.5707 -0.4591 -3.0685
Pd -3.0798 -4.5254 -0.8879
Pd -5.3201 1.4314 -0.6324
Pd -5.8169 -4.6181 -0.3312
Pd -4.0877 0.1024 -3.7460
Pd -3.1146 -2.4850 -3.8570
Pd -6.6440 0.0597 -2.6552
Pd -5.8611 -2.0285 -4.0994
Pd -4.0261 -3.5048 1.5030
Pd -6.5998 -2.5299 1.1131
Pd -5.2934 -0.1354 1.6475
Pd -1.5265 -3.0461 0.6960
Ca -4.2135 -1.5414 -1.0098
Ca -8.2474 -3.0171 -1.9766
Cu -11.3041 -4.1352 -2.7091
Cu -1.1568 -0.4232 -0.2772

# 8
12
Lattice="-5.9321 1.2129 1.3080 4.7754 -1.6745 7.3636 2.0756 6.9527 -3.7782" Properties=species:S:1:pos:R:3 comment="PmHo4Al, relaxed, DFT PBE" polymorph_energy_ev_per_atom=0.0790 space_group=C2/c crystal_system=monoclinic delta_e_f_ev_per_atom=-0.040 pbc="T T T"
Ho 2.1684 5.1410 -1.6566
Ho 3.1112 4.6390 1.8641
Ho -1.2494 1.3500 6.5499
Ho 0.2086 4.1355 3.8775
Ho -2.1923 1.8520 3.0292
Ho 3.4998 3.3219 4.8473
Ho 0.7103 2.3555 1.0159
Ho -2.5809 3.1691 0.0461
Al 5.3661 5.5726 3.9117
Al -4.4471 0.9184 0.9817
Pm -0.2743 5.7298 0.7771
Pm 1.1932 0.7612 4.1162

# 9
8
Lattice="4.1933 0.0000 0.0000 0.0000 7.1759 -2.3877 0.0000 -0.0035 7.5627" Properties=species:S:1:pos:R:3 comment="Ho4Te3Ir, relaxed, DFT PBE" polymorph_energy_ev_per_atom=0.0000 space_group=Cmmm formation_energy_uncorrected_ev_per_fu=-9.5 crystal_system=orthorhombic pbc="T T T"
Te 0.0000 3.5879 -1.1938
Te 0.0000 -0.0017 3.7813
Te 2.0966 3.5862 2.5875
Ir 2.0966 0.0000 0.0000
Ho 2.0966 5.5469 -0.1299
Ho 2.0966 1.6255 5.3050
Ho 0.0000 5.6800 4.0982
Ho 0.0000 1.4924 1.0768

# 10
8
Lattice="-0.2181 -3.6884 -0.6756 3.2486 0.1522 -1.8793 5.7595 -3.3396 5.9320" Properties=species:S:1:pos:R:3 comment="NaCdB2, relaxed, DFT PBE" space_group=I4_1/amd crystal_system=tetragonal delta_e_f_ev_per_atom=0.983 pbc="T T T"
Na 5.2617 -2.4778 1.3876
Na 1.5153 -1.7681 -1.2775
B 4.6439 -3.8689 3.9608
B 1.6552 -4.0433 0.6569
B 3.2795 -3.9671 -0.2827
B 4.5350 -5.7131 3.6229
Cd 0.0000 0.0000 0.0000
Cd 3.5284 -4.3981 1.9895

# 11
5
Lattice="3.9444 0.0000 0.0000 0.0000 4.2641 0.0000 0.0000 0.0000 3.9444" Properties=species:S:1:pos:R:3 comment="MnBe2FeTc, relaxed, DFT PBE" space_group=P4/mmm crystal_system=tetragonal delta_e_f_ev_per_atom=1.244 pbc="T T T"
Be 0.0000 0.0000 1.9722
Be 1.9722 0.0000 0.0000
Mn 0.0000 0.0000 0.0000
Tc 0.0000 2.1320 0.0000
Fe 1.9722 2.1320 1.9722

# 12
3
Lattice="-0.2374 -2.2858 3.4414 3.7801 -1.5110 -0.7429 -0.0033 5.1875 0.9574" Properties=species:S:1:pos:R:3 comment="LiTbSb, relaxed, DFT PBE" polymorph_energy_ev_per_atom=0.3170 space_group=I4mm formation_energy_uncorrected_ev_per_fu=-1.5 crystal_system=tetragonal pbc="T T T"
Tb 0.9848 1.8320 1.2848
Sb 2.2317 -1.0421 1.9498
Li 3.3319 1.0047 3.3852

> What is the formula in the third record?

SrTi3I

> Number 12 is which compound?

LiTbSb